Record 1
DFT (PBE-GGA) results for a relaxed Pr5NdY2 crystal. Values from VASP.

Output
ΔE to the lowest computed polymorph: 0.218 eV per atom
ΔE_f: 0.23 eV/atom

```
&SYSTEM
  ibrav = 0, nat = 16, ntyp = 3
/
ATOMIC_SPECIES
Pr 140.91 Pr.upf
Nd 144.24 Nd.upf
Y 88.91 Y.upf
CELL_PARAMETERS angstrom
-6.402 1.121 -3.266
8.677 -9.114 8.171
-3.626 4.219 8.557
ATOMIC_POSITIONS angstrom
Pr 3.559 -4.728 15.660
Pr 5.161 -6.593 11.879
Pr 1.694 -3.709 7.498
Pr 2.830 -5.031 4.817
Pr -1.652 -0.865 2.770
Pr 0.300 -2.909 10.692
Pr -3.046 -0.064 5.964
Pr -4.182 1.258 8.645
Pr -4.910 0.955 -2.198
Pr -6.513 2.820 1.583
Nd -2.902 -2.216 8.994
Nd 1.550 -1.557 4.468
Y -1.486 -3.089 5.870
Y -0.334 -4.429 3.152
Y 0.134 -0.684 7.592
Y -1.018 0.656 10.310
```

Record 2
DFT (PBE-GGA) results for a relaxed Pr3Nd5Y crystal. Values from VASP.

Output
ΔE_f: 0.33 eV/atom

```
&SYSTEM
  ibrav = 0, nat = 18, ntyp = 3
/
ATOMIC_SPECIES
Pr 140.91 Pr.upf
Nd 144.24 Nd.upf
Y 88.91 Y.upf
CELL_PARAMETERS angstrom
7.086 0.102 -0.502
2.038 6.788 -0.502
1.834 1.385 13.936
ATOMIC_POSITIONS angstrom
Pr 8.599 6.493 11.541
Pr 6.771 5.112 6.236
Pr 0.000 0.000 0.000
Pr 0.917 0.692 6.968
Pr 2.359 1.782 1.390
Pr 4.188 3.162 6.695
Nd 1.572 3.445 4.399
Nd 3.680 4.613 -0.502
Nd 6.990 5.278 0.929
Nd 4.922 3.716 3.089
Nd 6.036 4.558 9.842
Nd 3.968 2.996 12.002
Nd 3.743 0.569 4.399
Nd 5.445 2.276 -0.502
Nd 9.386 4.830 8.532
Nd 7.215 7.705 8.532
Y 1.651 1.247 10.443
Y 9.307 7.028 2.488
```

Record 3
DFT (PBE-GGA) results for a relaxed Pr7Nd5Y crystal. Values from VASP.

Output
ΔE_f: 0.21 eV/atom

```
&SYSTEM
  ibrav = 0, nat = 13, ntyp = 3
/
ATOMIC_SPECIES
Pr 140.91 Pr.upf
Nd 144.24 Nd.upf
Y 88.91 Y.upf
CELL_PARAMETERS angstrom
6.902 0.000 0.000
3.451 8.288 0.223
3.451 0.197 8.289
ATOMIC_POSITIONS angstrom
Pr 6.902 2.286 2.294
Pr 6.902 4.894 4.910
Pr 10.353 2.968 5.889
Pr 10.353 5.879 2.987
Pr 3.451 2.178 2.185
Pr 6.902 7.046 1.738
Pr 6.902 1.715 7.052
Nd 5.013 0.152 4.581
Nd 8.791 0.152 4.581
Nd 5.013 4.581 0.167
Nd 8.791 4.581 0.167
Nd 10.353 6.327 6.347
Y 6.902 8.152 8.178
```

> Which of these has the lowest ΔE_f?

Pr7Nd5Y

> What is the formula in the third record?

Pr7Nd5Y

> ΔE_f of number 1 (Pr5NdY2)?

0.23 eV/atom

> Look up the ΔE_f of the second one.

0.33 eV/atom